Entry from Alexandria via LeMat-Bulk: a relaxed structure of CeTiSe (PBE).

Its volume is 22.907 Å³/atom. As for the density of states at the Fermi level: 12.252 states/eV per cell. For the total moment, the calculation gives 0.3644 μB per atom. For the mass density, the calculation gives 6.5 g/cm³. The value obtained for the total DFT energy (no corrections) is -37.92 eV/cell. For the energy relative to the elements, uncorrected, the calculation gives -0.5484 eV per atom.

The structure belongs to space group Pmma (No. 51); the cell edges are 7.7204, 3.5747 and 4.9802 Å and the angles 90.00°, 90.00° and 90.00°. The inequivalent atoms are Ce at (0.2500, 0.0000, 0.9996), Ti at (0.0000, 0.0000, 0.5000) and Se at (0.2500, 0.5000, 0.4995).